# Co2TeSe

A relaxed structure of Co2TeSe (GGA-PBE, Alexandria via LeMat-Bulk).

```
4
Lattice="3.260 0.000 0.000 0.000 3.465 0.000 0.000 0.000 6.102" Properties=species:S:1:pos:R:3 pbc="T T T"
Co 0.000 0.000 1.291
Co 0.000 0.000 4.811
Te 1.630 1.732 0.000
Se 1.630 0.000 3.051
```

Properties
The value obtained for the energy above the most stable polymorph in this dataset is 0.304 eV per atom. The symmetry is No. 47.